A relaxed SrAc4Zn crystal, computed with PBE.

Summary:
SG   P4/mmm, No. 123
E   -3.28 eV per atom
Energy of formation from the pure elements   -0.05 eV per atom
Volume   41.16 Å³ per atom
Magnetization   0.00 μB/f.u.

abc: 3.964 3.964 15.715
angles: 90.00 90.00 90.00
Atoms (fractional coordinates):
1 Sr 0.000 0.000 0.000
2 Ac 0.000 0.000 0.376
3 Ac 0.000 0.000 0.624
4 Ac 0.500 0.500 0.196
5 Ac 0.500 0.500 0.804
6 Zn 0.500 0.500 0.500


A relaxed Sr2AcZn3 crystal, computed with PBE.

Summary:
SG   Cmmm, No. 65
E   -2.09 eV per atom
Energy of formation from the pure elements   -0.21 eV per atom
Volume   29.88 Å³ per atom
Magnetization   0.00 μB/f.u.

abc: 8.741 8.741 7.818
angles: 90.00 90.00 143.12
Atoms (fractional coordinates):
1 Sr 0.000 0.000 0.000
2 Sr 0.000 0.000 0.500
3 Sr 0.333 0.667 0.000
4 Sr 0.667 0.333 0.000
5 Ac 0.334 0.666 0.500
6 Ac 0.666 0.334 0.500
7 Zn 0.167 0.833 0.257
8 Zn 0.167 0.833 0.743
9 Zn 0.500 0.500 0.256
10 Zn 0.500 0.500 0.744
11 Zn 0.833 0.167 0.257
12 Zn 0.833 0.167 0.743


A relaxed SrAcZn4 crystal, computed with PBE.

Summary:
SG   I-4m2, No. 119
E   -2.08 eV per atom
Energy of formation from the pure elements   -0.27 eV per atom
Volume   25.90 Å³ per atom
Energy above the lowest structure with this stoichiometry   0.0 meV per atom
Magnetization   0.00 μB/f.u.

abc: 4.463 4.463 15.605
angles: 90.00 90.00 90.00
Atoms (fractional coordinates):
1 Sr 0.000 0.000 0.000
2 Sr 0.500 0.500 0.500
3 Ac 0.000 0.500 0.250
4 Ac 0.500 0.000 0.750
5 Zn 0.000 0.000 0.416
6 Zn 0.000 0.000 0.584
7 Zn 0.000 0.500 0.666
8 Zn 0.000 0.500 0.834
9 Zn 0.500 0.000 0.166
10 Zn 0.500 0.000 0.334
11 Zn 0.500 0.500 0.084
12 Zn 0.500 0.500 0.916


A relaxed SrAc5Zn4 crystal, computed with PBE.

Summary:
SG   P4/mmm, No. 123
E   -2.91 eV per atom
Energy of formation from the pure elements   -0.17 eV per atom
Volume   33.76 Å³ per atom
Magnetization   0.00 μB/f.u.

abc: 3.936 3.936 21.798
angles: 90.00 90.00 90.00
Atoms (fractional coordinates):
1 Sr 0.000 0.000 0.000
2 Ac 0.500 0.500 0.146
3 Ac 0.500 0.500 0.321
4 Ac 0.500 0.500 0.500
5 Ac 0.500 0.500 0.679
6 Ac 0.500 0.500 0.854
7 Zn 0.000 0.000 0.232
8 Zn 0.000 0.000 0.410
9 Zn 0.000 0.000 0.590
10 Zn 0.000 0.000 0.768


A relaxed Sr2AcZn crystal, computed with PBE.

Summary:
SG   R-3m, No. 166
E   -2.03 eV per atom
Energy of formation from the pure elements   0.16 eV per atom
Volume   42.99 Å³ per atom
Energy above the lowest structure with this stoichiometry   197.4 meV per atom
Magnetization   0.34 μB/f.u.

abc: 4.004 4.004 37.161
angles: 90.00 90.00 120.00
Atoms (fractional coordinates):
1 Sr 0.000 0.000 0.105
2 Sr 0.000 0.000 0.895
3 Sr 0.333 0.667 0.561
4 Sr 0.333 0.667 0.772
5 Sr 0.667 0.333 0.228
6 Sr 0.667 0.333 0.439
7 Ac 0.000 0.000 0.000
8 Ac 0.333 0.667 0.667
9 Ac 0.667 0.333 0.333
10 Zn 0.000 0.000 0.500
11 Zn 0.333 0.667 0.167
12 Zn 0.667 0.333 0.833


A relaxed AcTa4 crystal, computed with PBE.

Summary:
SG   Pm-3m, No. 221
E   -7.29 eV per atom
Energy of formation from the pure elements   3.01 eV per atom
Volume   25.52 Å³ per atom
Magnetization   0.00 μB/f.u.

abc: 5.035 5.035 5.035
angles: 90.00 90.00 90.00
Atoms (fractional coordinates):
1 Ac 0.000 0.000 0.000
2 Ta 0.000 0.000 0.500
3 Ta 0.000 0.500 0.000
4 Ta 0.500 0.000 0.000
5 Ta 0.500 0.500 0.500